Entry from Alexandria via LeMat-Bulk: a geometry-optimized Ca2Sb structure (PBE-GGA).

abc: 9.585 9.585 6.135
angles: 90.00 90.00 151.40
Element x y z (fractional)
1 Ca 0.709 0.291 0.750
2 Ca 0.927 0.073 0.750
3 Ca 0.073 0.927 0.250
4 Ca 0.291 0.709 0.250
5 Sb 0.322 0.678 0.750
6 Sb 0.678 0.322 0.250

The calculation puts the calculated volume at 134.9 Å³/f.u. The crystal system is orthorhombic. As for the spin magnetization: 0.000 μB/atom. As for the space group: Cmcm, No. 63. The energy relative to the elements, uncorrected comes out at -0.611 eV/atom. The density comes out at 2.5 g cm⁻³. As for the density of states at the Fermi level: 2.44 states/eV per cell.

Entry from Alexandria via LeMat-Bulk: a geometry-optimized Ca2Sb structure (PBE-GGA).

abc: 6.409 6.409 6.409
angles: 107.69 107.69 113.10
Element x y z (fractional)
1 Ca 0.820 0.320 0.139
2 Ca 0.180 0.680 0.861
3 Ca 0.320 0.180 0.500
4 Ca 0.680 0.820 0.500
5 Sb 0.250 0.250 0.000
6 Sb 0.750 0.750 0.000

The calculation puts the calculated volume at 101.0 Å³/f.u. The crystal system is tetragonal. As for the spin magnetization: 0.135 μB/atom. As for the space group: I4/mcm, No. 140. The energy relative to the elements, uncorrected comes out at -0.672 eV/atom. The density comes out at 3.3 g cm⁻³. As for the density of states at the Fermi level: 4.23 states/eV per cell.

Entry from Alexandria via LeMat-Bulk: a geometry-optimized CaSc2Sb structure (PBE-GGA).

abc: 3.918 3.918 6.932
angles: 90.00 90.00 90.00
Element x y z (fractional)
1 Sc 0.000 0.000 0.988
2 Sc 0.500 0.500 0.211
3 Sb 0.500 0.500 0.784
4 Ca 0.000 0.000 0.517

The calculation puts the calculated volume at 106.4 Å³/f.u. The crystal system is tetragonal. As for the spin magnetization: 0.192 μB/atom. As for the space group: P4mm, No. 99. The energy relative to the elements, uncorrected comes out at -0.407 eV/atom. The density comes out at 3.9 g cm⁻³. As for the density of states at the Fermi level: 4.18 states/eV per cell.

Entry from Alexandria via LeMat-Bulk: a geometry-optimized CaScSb structure (PBE-GGA).

abc: 5.013 5.013 5.013
angles: 60.00 60.00 60.00
Element x y z (fractional)
1 Sc 0.000 0.000 0.000
2 Sb 0.750 0.750 0.750
3 Ca 0.500 0.500 0.500

The calculation puts the calculated volume at 89.1 Å³/f.u. The crystal system is cubic. As for the spin magnetization: 0.270 μB/atom. As for the space group: F-43m, No. 216. The energy relative to the elements, uncorrected comes out at -0.512 eV/atom. The density comes out at 3.9 g cm⁻³. As for the density of states at the Fermi level: 3.32 states/eV per cell.

Entry from Alexandria via LeMat-Bulk: a geometry-optimized CaSc2Sb structure (PBE-GGA).

abc: 6.250 6.250 5.089
angles: 65.96 65.96 36.42
Element x y z (fractional)
1 Sc 0.964 0.964 0.036
2 Sc 0.536 0.536 0.464
3 Sb 0.250 0.250 0.250
4 Ca 0.750 0.750 0.750

The calculation puts the calculated volume at 106.6 Å³/f.u. The crystal system is orthorhombic. As for the spin magnetization: 0.000 μB/atom. As for the space group: Immm, No. 71. The energy relative to the elements, uncorrected comes out at -0.393 eV/atom. The density comes out at 3.9 g cm⁻³. As for the density of states at the Fermi level: 4.17 states/eV per cell.

Entry from Alexandria via LeMat-Bulk: a geometry-optimized CaScSb structure (PBE-GGA).

abc: 4.861 4.861 4.323
angles: 90.00 90.00 120.00
Element x y z (fractional)
1 Sc 0.333 0.667 0.531
2 Sb 0.667 0.333 0.449
3 Ca 0.000 0.000 0.019

The calculation puts the calculated volume at 88.5 Å³/f.u. The crystal system is trigonal. As for the spin magnetization: 0.000 μB/atom. As for the space group: P3m1, No. 156. The energy relative to the elements, uncorrected comes out at -0.482 eV/atom. The density comes out at 3.9 g cm⁻³. As for the density of states at the Fermi level: 2.23 states/eV per cell.

Entry from Alexandria via LeMat-Bulk: a geometry-optimized CaSc2Sb structure (PBE-GGA).

abc: 6.310 6.310 3.315
angles: 76.16 76.16 117.62
Element x y z (fractional)
1 Sc 0.000 0.000 0.000
2 Sc 0.500 0.500 0.000
3 Sb 0.000 0.500 0.500
4 Ca 0.500 0.000 0.500

The calculation puts the calculated volume at 103.7 Å³/f.u. The crystal system is monoclinic. As for the spin magnetization: 0.000 μB/atom. As for the space group: C2/m, No. 12. The energy relative to the elements, uncorrected comes out at -0.243 eV/atom. The density comes out at 4.0 g cm⁻³. As for the density of states at the Fermi level: 3.85 states/eV per cell.

Entry from Alexandria via LeMat-Bulk: a geometry-optimized CaScSb structure (PBE-GGA).

abc: 4.481 4.481 8.214
angles: 90.00 90.00 90.00
Element x y z (fractional)
1 Ca 0.000 0.500 0.846
2 Ca 0.500 0.000 0.154
3 Sb 0.000 0.500 0.248
4 Sb 0.500 0.000 0.752
5 Sc 0.500 0.500 0.500
6 Sc 0.000 0.000 0.500

The calculation puts the calculated volume at 82.5 Å³/f.u. The crystal system is tetragonal. As for the spin magnetization: 0.197 μB/atom. As for the space group: P4/nmm, No. 129. The energy relative to the elements, uncorrected comes out at -0.814 eV/atom. The density comes out at 4.2 g cm⁻³. As for the density of states at the Fermi level: 7.02 states/eV per cell.

Entry from Alexandria via LeMat-Bulk: a geometry-optimized CaSc2Sb structure (PBE-GGA).

abc: 4.633 4.633 4.707
angles: 90.00 90.00 90.02
Element x y z (fractional)
1 Sc 0.000 0.000 0.000
2 Sc 0.500 0.500 0.000
3 Sb 0.000 0.500 0.500
4 Ca 0.500 0.000 0.500

The calculation puts the calculated volume at 101.1 Å³/f.u. The crystal system is tetragonal. As for the spin magnetization: 0.516 μB/atom. As for the space group: P4/mmm, No. 123. The energy relative to the elements, uncorrected comes out at -0.360 eV/atom. The density comes out at 4.1 g cm⁻³. As for the density of states at the Fermi level: 5.23 states/eV per cell.

Entry from Alexandria via LeMat-Bulk: a geometry-optimized CaScSb4 structure (PBE-GGA).

abc: 6.276 6.276 6.276
angles: 60.00 60.00 60.00
Element x y z (fractional)
1 Ca 0.000 0.000 0.000
2 Sc 0.750 0.750 0.750
3 Sb 0.874 0.375 0.375
4 Sb 0.375 0.375 0.874
5 Sb 0.375 0.874 0.375
6 Sb 0.375 0.375 0.375

The calculation puts the calculated volume at 174.8 Å³/f.u. The crystal system is cubic. As for the spin magnetization: 0.005 μB/atom. As for the space group: F-43m, No. 216. The energy relative to the elements, uncorrected comes out at -0.045 eV/atom. The density comes out at 5.4 g cm⁻³. As for the density of states at the Fermi level: 7.19 states/eV per cell.

Entry from Alexandria via LeMat-Bulk: a geometry-optimized CaSc4Sb5 structure (PBE-GGA).

abc: 4.196 5.988 11.256
angles: 105.43 100.74 90.00
Element x y z (fractional)
1 Ca 0.000 0.000 0.000
2 Sc 0.402 0.402 0.803
3 Sc 0.796 0.796 0.592
4 Sc 0.204 0.204 0.408
5 Sc 0.598 0.598 0.197
6 Sb 0.610 0.110 0.219
7 Sb 0.802 0.302 0.604
8 Sb 0.198 0.698 0.396
9 Sb 0.000 0.500 0.000
10 Sb 0.390 0.890 0.781

The calculation puts the calculated volume at 267.5 Å³/f.u. The crystal system is orthorhombic. As for the spin magnetization: 0.000 μB/atom. As for the space group: Immm, No. 71. The energy relative to the elements, uncorrected comes out at -0.893 eV/atom. The density comes out at 5.1 g cm⁻³. As for the density of states at the Fermi level: 2.70 states/eV per cell.

Entry from Alexandria via LeMat-Bulk: a geometry-optimized CaSc2Sb structure (PBE-GGA).

abc: 3.966 3.964 7.791
angles: 59.48 90.00 90.00
Element x y z (fractional)
1 Sc 0.000 0.029 0.970
2 Sc 0.000 0.471 0.530
3 Sb 0.500 0.750 0.750
4 Ca 0.500 0.250 0.250

The calculation puts the calculated volume at 105.5 Å³/f.u. The crystal system is monoclinic. As for the spin magnetization: 0.386 μB/atom. As for the space group: P2/m, No. 10. The energy relative to the elements, uncorrected comes out at -0.319 eV/atom. The density comes out at 4.0 g cm⁻³. As for the density of states at the Fermi level: 4.52 states/eV per cell.